{"formula": "Ba5In2Sb6", "functional": "PBE", "state": "optimized geometry", "e_tot_ev_per_atom": -3.895, "raw_formation_energy_kcal_per_mol_atoms": -19.17, "lattice": [[13.5500, 0.0000, 0.0000], [0.0000, 15.5870, 0.0000], [0.0000, 0.0000, 4.8558]], "species": ["Ba", "Ba", "Ba", "Ba", "Ba", "Ba", "Ba", "Ba", "Ba", "Ba", "In", "In", "In", "In", "Sb", "Sb", "Sb", "Sb", "Sb", "Sb", "Sb", "Sb", "Sb", "Sb", "Sb", "Sb"], "frac_coords": [[0.0000, 0.0000, 0.0000], [0.0872, 0.2522, 0.0000], [0.1721, 0.5183, 0.0000], [0.3279, 0.0183, 0.0000], [0.4128, 0.7522, 0.0000], [0.5000, 0.5000, 0.0000], [0.5872, 0.2478, 0.0000], [0.6721, 0.9817, 0.0000], [0.8279, 0.4817, 0.0000], [0.9128, 0.7478, 0.0000], [0.1735, 0.7116, 0.5000], [0.3265, 0.2116, 0.5000], [0.6735, 0.7884, 0.5000], [0.8265, 0.2884, 0.5000], [0.0143, 0.4077, 0.5000], [0.1564, 0.0972, 0.5000], [0.1628, 0.8176, 0.0000], [0.3372, 0.3176, 0.0000], [0.3436, 0.5972, 0.5000], [0.4857, 0.9077, 0.5000], [0.5143, 0.0923, 0.5000], [0.6564, 0.4028, 0.5000], [0.6628, 0.6824, 0.0000], [0.8372, 0.1824, 0.0000], [0.8436, 0.9028, 0.5000], [0.9857, 0.5923, 0.5000]]}

---

{"formula": "BaIn2Sb", "functional": "PBE", "state": "optimized geometry", "e_tot_ev_per_atom": -3.272, "raw_formation_energy_kcal_per_mol_atoms": -9.02, "lattice": [[5.1601, 0.0000, 0.0000], [0.0000, 5.4176, 0.0000], [-0.6560, 0.0000, 5.1336]], "species": ["Ba", "In", "In", "Sb"], "frac_coords": [[0.0000, 0.0000, 0.0000], [0.2957, 0.5000, 0.7014], [0.7043, 0.5000, 0.2986], [0.5000, 0.0000, 0.5000]]}